Material: AcNpAu4
Method: DFT, PBE
State: relaxed

The value obtained for the size of the total moment is 19.27 Bohr magnetons per cell. The formation energy is -0.219 eV/atom. For the density, the calculation gives 14.97 g cm⁻³. The value obtained for the volume is 138.9 Å³/f.u.

The structure belongs to space group F-43m (No. 216); the cell edges are 8.220, 8.220 and 8.220 Å and the angles 90.00°, 90.00° and 90.00°. The inequivalent atoms are Ac at (0.000, 0.000, 0.000), Np at (0.250, 0.250, 0.250) and Au at (0.124, 0.124, 0.624).

Material: KYTiIr2
Method: DFT, PBE
State: relaxed

The value obtained for the size of the total moment is 0.31 Bohr magnetons per cell. The formation energy is 1.555 eV/atom. For the density, the calculation gives 7.16 g cm⁻³. The value obtained for the volume is 130.0 Å³/f.u.

The structure belongs to space group P4/mmm (No. 123); the cell edges are 5.033, 5.033 and 5.132 Å and the angles 90.00°, 90.00° and 90.00°. The inequivalent atoms are K at (0.000, 0.000, 0.000), Y at (0.000, 0.000, 0.500), Ti at (0.500, 0.500, 0.000) and Ir at (0.000, 0.500, 0.500).

Material: In3IrSe
Method: DFT, PBE
State: relaxed

Its offset from the most stable computed form is 1166.5 meV per atom. The value obtained for the size of the total moment is 0.08 Bohr magnetons per cell. As for the uncorrected formation energy: 1.073 eV/atom. For the density, the calculation gives 7.06 g cm⁻³. The value obtained for the volume is 144.7 Å³/f.u.

The structure belongs to space group Pm-3m (No. 221); the cell edges are 5.251, 5.251 and 5.251 Å and the angles 90.00°, 90.00° and 90.00°. The inequivalent atoms are In at (0.000, 0.000, 0.500), Ir at (0.500, 0.500, 0.500) and Se at (0.000, 0.000, 0.000).

Material: Cs3ZnIn4
Method: DFT, PBE
State: relaxed

The value obtained for the size of the total moment is 0.00 Bohr magnetons per cell. The formation energy is -0.037 eV/atom. For the density, the calculation gives 4.27 g cm⁻³. The value obtained for the volume is 359.2 Å³/f.u.

The structure belongs to space group Pmmn (No. 59, origin choice 2); the cell edges are 6.572, 15.520 and 7.043 Å and the angles 90.00°, 90.00° and 90.00°. The inequivalent atoms are Cs at (0.250, 0.011, 0.213), Cs at (0.250, 0.750, 0.496), Zn at (0.250, 0.250, 0.343), In at (0.010, 0.750, 0.992) and In at (0.250, 0.150, 0.700).

Material: LiMg4Sn
Method: DFT, PBE
State: relaxed

Its offset from the most stable computed form is 0.0 meV per atom. The value obtained for the size of the total moment is 0.00 Bohr magnetons per cell. The formation energy is 0.026 eV/atom. For the density, the calculation gives 2.57 g cm⁻³. The value obtained for the volume is 144.1 Å³/f.u.

The structure belongs to space group F-43m (No. 216); the cell edges are 8.323, 8.323 and 8.323 Å and the angles 90.00°, 90.00° and 90.00°. The inequivalent atoms are Li at (0.000, 0.000, 0.000), Mg at (0.125, 0.125, 0.625) and Sn at (0.250, 0.250, 0.250).

Material: CdRe3Mo
Method: DFT, PBE
State: relaxed

The value obtained for the size of the total moment is 1.96 Bohr magnetons per cell. The formation energy is 2.100 eV/atom. For the density, the calculation gives 11.98 g cm⁻³. The value obtained for the volume is 106.3 Å³/f.u.

The structure belongs to space group Pm-3m (No. 221); the cell edges are 4.738, 4.738 and 4.738 Å and the angles 90.00°, 90.00° and 90.00°. The inequivalent atoms are Cd at (0.000, 0.000, 0.000), Re at (0.000, 0.500, 0.500) and Mo at (0.500, 0.500, 0.500).

Material: Ti2BeHRh
Method: DFT, PBE
State: relaxed

Its offset from the most stable computed form is 33.9 meV per atom. The value obtained for the size of the total moment is 0.00 Bohr magnetons per cell. For the density, the calculation gives 5.90 g cm⁻³. The value obtained for the volume is 58.8 Å³/f.u.

The structure belongs to space group P4/mmm (No. 123); the cell edges are 3.956, 3.956 and 3.756 Å and the angles 90.00°, 90.00° and 90.00°. The inequivalent atoms are Ti at (0.000, 0.500, 0.000), Be at (0.000, 0.000, 0.500), H at (0.500, 0.500, 0.000) and Rh at (0.500, 0.500, 0.500).

Material: HfTiSb2F
Method: DFT, PBE
State: relaxed

The value obtained for the size of the total moment is 0.00 Bohr magnetons per cell. As for the uncorrected formation energy: 0.041 eV/atom. For the density, the calculation gives 6.25 g cm⁻³. The value obtained for the volume is 129.9 Å³/f.u.

The structure belongs to space group P4/mmm (No. 123); the cell edges are 5.096, 5.096 and 5.001 Å and the angles 90.00°, 90.00° and 90.00°. The inequivalent atoms are Hf at (0.000, 0.000, 0.000), Ti at (0.000, 0.000, 0.500), Sb at (0.000, 0.500, 0.500) and F at (0.500, 0.500, 0.000).

Material: KBi3Se
Method: DFT, PBE
State: relaxed

Its offset from the most stable computed form is 0.0 meV per atom. The value obtained for the size of the total moment is 0.00 Bohr magnetons per cell. As for the uncorrected formation energy: 0.161 eV/atom. For the density, the calculation gives 6.50 g cm⁻³. The value obtained for the volume is 190.3 Å³/f.u.

The structure belongs to space group Pm-3m (No. 221); the cell edges are 5.752, 5.752 and 5.752 Å and the angles 90.00°, 90.00° and 90.00°. The inequivalent atoms are K at (0.000, 0.000, 0.000), Bi at (0.000, 0.500, 0.500) and Se at (0.500, 0.500, 0.500).

Material: SrIrRu4
Method: DFT, PBE
State: relaxed

The value obtained for the size of the total moment is 0.05 Bohr magnetons per cell. The formation energy is 0.622 eV/atom. For the density, the calculation gives 11.19 g cm⁻³. The value obtained for the volume is 101.5 Å³/f.u.

The structure belongs to space group F-43m (No. 216); the cell edges are 7.405, 7.405 and 7.405 Å and the angles 90.00°, 90.00° and 90.00°. The inequivalent atoms are Sr at (0.000, 0.000, 0.000), Ir at (0.250, 0.250, 0.750) and Ru at (0.124, 0.124, 0.376).

Material: Sr3Sc2PaBi6
Method: DFT, PBE
State: relaxed

The value obtained for the size of the total moment is 0.00 Bohr magnetons per cell. The formation energy is -0.650 eV/atom. For the density, the calculation gives 7.45 g cm⁻³. The value obtained for the volume is 409.4 Å³/f.u.

The structure belongs to space group C2/m (No. 12); the cell edges are 7.818, 13.545 and 8.161 Å and the angles 90.00°, 108.65° and 90.00°. The inequivalent atoms are Sr at (0.000, 0.000, 0.000), Sr at (0.000, 0.335, 0.000), Sc at (0.000, 0.167, 0.500), Pa at (0.000, 0.500, 0.500), Bi at (0.232, 0.000, 0.714) and Bi at (0.241, 0.331, 0.716).

Material: CsTi3V
Method: DFT, PBE
State: relaxed

Its offset from the most stable computed form is 0.0 meV per atom. The value obtained for the size of the total moment is 1.30 Bohr magnetons per cell. The formation energy is 1.157 eV/atom. For the density, the calculation gives 4.63 g cm⁻³. The value obtained for the volume is 117.4 Å³/f.u.

The structure belongs to space group Pm-3m (No. 221); the cell edges are 4.896, 4.896 and 4.896 Å and the angles 90.00°, 90.00° and 90.00°. The inequivalent atoms are Cs at (0.000, 0.000, 0.000), Ti at (0.000, 0.500, 0.500) and V at (0.500, 0.500, 0.500).